A relaxed MnBrF2 crystal, computed with GGA+U.

abc: 9.5285 9.5285 9.5285
angles: 19.69 19.69 19.69
Sites, in units of the cell vectors:
Mn 0.0000 0.0000 0.0000
Br 0.5000 0.5000 0.5000
F 0.3696 0.3696 0.3696
F 0.6304 0.6304 0.6304

Results
D(E_F)   1.99 states/eV/f.u.
Calculated volume   86 Å³/f.u.
DFT total energy   -5.022 eV per atom